Entry 1:
Compound: BeGaSb2
Source: Alexandria via LeMat-Bulk
Functional: PBE
Structure: relaxed

Geometry as POSCAR:
```
BeGaSb2
1.0
5.9485 0.0000 0.0000
0.0000 5.9485 0.0000
2.9743 2.9743 5.8258
Sb Ga Be
4 2 2
Cartesian
4.2596 1.4871 1.4565 Sb
1.6889 4.4614 1.4565 Sb
4.4614 4.6632 4.3694 Sb
7.4357 7.2338 4.3694 Sb
0.0000 0.0000 0.0000 Ga
5.9485 2.9743 2.9129 Ga
2.9743 2.9743 0.0000 Be
2.9743 5.9485 2.9129 Be
```

Output
* space group: I-42d
* total DFT energy (no corrections): -29.5 eV/cell
* distance to the lowest polymorph of the same formula: 0.000 kcal/mol of atoms

=====

Entry 2:
Compound: Be2GaSb2
Source: Alexandria via LeMat-Bulk
Functional: PBE
Structure: relaxed

Geometry as POSCAR:
```
Be2GaSb2
1.0
3.7384 0.0000 0.0000
0.0000 3.7384 0.0000
1.8692 1.8692 7.4615
Sb Ga Be
2 1 2
Cartesian
1.8692 1.8692 2.0395 Sb
3.7384 3.7384 5.4220 Sb
0.0000 0.0000 0.0000 Ga
3.7384 1.8692 3.7307 Be
1.8692 3.7384 3.7307 Be
```

Output
* space group: I4/mmm
* total DFT energy (no corrections): -17.6 eV/cell
* distance to the lowest polymorph of the same formula: 0.000 kcal/mol of atoms

=====

Entry 3:
Compound: Be2GaSb2
Source: Alexandria via LeMat-Bulk
Functional: PBE
Structure: relaxed

Geometry as POSCAR:
```
Be2GaSb2
1.0
-1.6795 5.9063 -4.8414
-6.5685 1.4117 4.0008
1.5718 1.9873 1.8792
Sb Ga Be
4 2 4
Cartesian
-5.9950 3.1110 1.7242 Sb
-5.8014 5.8421 -1.3259 Sb
-2.2529 4.2070 -2.5647 Sb
-2.4466 1.4760 0.4854 Sb
0.0000 0.0000 0.0000 Ga
-4.1240 3.6590 -0.4203 Ga
-3.3894 2.4902 2.8492 Be
-6.0941 5.8441 1.5645 Be
-3.2867 6.8152 -1.8105 Be
-0.5820 3.4612 -0.5258 Be
```

Output
* space group: P4/mbm
* total DFT energy (no corrections): -32.4 eV/cell
* distance to the lowest polymorph of the same formula: 6.384 kcal/mol of atoms

=====

Entry 4:
Compound: Be2GaSb
Source: Alexandria via LeMat-Bulk
Functional: PBE
Structure: relaxed

Geometry as POSCAR:
```
Be2GaSb
1.0
0.0000 3.1867 3.1867
3.1867 0.0000 3.1867
3.1867 3.1867 0.0000
Sb Ga Be
1 1 2
Cartesian
3.1867 3.1867 3.1867 Sb
0.0000 0.0000 0.0000 Ga
1.5933 1.5933 1.5933 Be
4.7800 4.7800 4.7800 Be
```

Output
* space group: Fm-3m
* total DFT energy (no corrections): -12.1 eV/cell
* distance to the lowest polymorph of the same formula: 0.958 kcal/mol of atoms

=====

Entry 5:
Compound: BeGa2Sb
Source: Alexandria via LeMat-Bulk
Functional: PBE
Structure: relaxed

Geometry as POSCAR:
```
BeGa2Sb
1.0
0.0000 3.3897 3.3897
3.3897 0.0000 3.3897
3.3897 3.3897 0.0000
Sb Ga Be
1 2 1
Cartesian
3.3897 3.3897 3.3897 Sb
1.6949 1.6949 1.6949 Ga
5.0846 5.0846 5.0846 Ga
0.0000 0.0000 0.0000 Be
```

Output
* space group: Fm-3m
* total DFT energy (no corrections): -12.0 eV/cell
* distance to the lowest polymorph of the same formula: 1.758 kcal/mol of atoms

=====

Entry 6:
Compound: BeGaSb2
Source: Alexandria via LeMat-Bulk
Functional: PBE
Structure: relaxed

Geometry as POSCAR:
```
BeGaSb2
1.0
-2.5955 -2.3851 2.0158
0.8227 -3.9476 0.4785
3.1143 -0.5343 7.4676
Sb Ga Be
2 1 1
Cartesian
2.0044 -1.0066 5.4797 Sb
-0.6629 -5.8604 4.4821 Sb
0.6707 -3.4335 4.9809 Ga
0.0000 0.0000 0.0000 Be
```

Output
* space group: R-3m
* total DFT energy (no corrections): -13.0 eV/cell
* distance to the lowest polymorph of the same formula: 10.386 kcal/mol of atoms

=====

Entry 7:
Compound: BeGaSb3
Source: Alexandria via LeMat-Bulk
Functional: PBE
Structure: relaxed

Geometry as POSCAR:
```
BeGaSb3
1.0
4.9708 0.0000 0.0000
0.0000 4.9708 0.0000
0.0000 0.0000 4.9708
Sb Ga Be
3 1 1
Cartesian
0.0000 2.4854 0.0000 Sb
0.0000 0.0000 2.4854 Sb
2.4854 0.0000 0.0000 Sb
2.4854 2.4854 2.4854 Ga
0.0000 0.0000 0.0000 Be
```

Output
* space group: Pm-3m
* total DFT energy (no corrections): -16.9 eV/cell
* distance to the lowest polymorph of the same formula: 0.000 kcal/mol of atoms

=====

Entry 8:
Compound: Be2GaSb
Source: Alexandria via LeMat-Bulk
Functional: PBE
Structure: relaxed

Geometry as POSCAR:
```
Be2GaSb
1.0
6.0877 0.0000 0.0000
0.0000 6.0877 0.0000
3.0439 3.0439 4.3241
Sb Ga Be
2 2 4
Cartesian
0.0000 0.0000 0.0000 Sb
6.0877 3.0439 2.1620 Sb
3.0439 3.0439 0.0000 Ga
3.0439 6.0877 2.1620 Ga
4.5716 1.5219 1.0810 Be
1.5161 4.5658 1.0810 Be
4.5658 4.5600 3.2430 Be
7.6096 7.6154 3.2430 Be
```

Output
* space group: I-42d
* total DFT energy (no corrections): -24.6 eV/cell
* distance to the lowest polymorph of the same formula: 0.000 kcal/mol of atoms